Below is crystalline Tm2VReO8 at its relaxed geometry, with properties calculated at the PBE+U level.

Cell and atoms, written as POSCAR:
```
Tm2VReO8
1.0
-3.687 -2.006 -2.414
0.647 -3.979 2.681
-4.152 2.307 4.425
O Tm Re V
8 2 1 1
direct
0.179 0.821 0.237
0.719 0.719 0.000
0.723 0.724 0.500
0.179 0.821 0.763
0.281 0.281 0.000
0.821 0.179 0.763
0.821 0.179 0.237
0.277 0.276 0.500
0.500 0.500 0.254
0.500 0.500 0.746
0.000 0.000 0.000
0.000 0.000 0.500
```

## Properties
Symmetry   No. 65
Final energy   -8.195 eV per atom